The following is a PBE-GGA calculation of a geometry-optimized NaLiMnI4 structure, from Alexandria via LeMat-Bulk.

```
data_NaLiMnI4
_space_group_name_H-M_alt 'I -4'
_space_group_IT_number 82
_cell_length_a 7.0237
_cell_length_b 7.0237
_cell_length_c 12.0645
_cell_angle_alpha 90.00
_cell_angle_beta 90.00
_cell_angle_gamma 90.00
loop_
_space_group_symop_operation_xyz
'x,y,z'
'y,-x,-z'
'-x,-y,z'
'-y,x,-z'
'x+1/2,y+1/2,z+1/2'
'y+1/2,-x+1/2,-z+1/2'
'-x+1/2,-y+1/2,z+1/2'
'-y+1/2,x+1/2,-z+1/2'
loop_
_atom_site_label
_atom_site_type_symbol
_atom_site_fract_x
_atom_site_fract_y
_atom_site_fract_z
Na1 Na 0.0000 0.0000 0.0000
Li1 Li 0.0000 0.0000 0.5000
Mn1 Mn 0.0000 0.5000 0.7500
I1 I 0.2115 0.2504 0.6314
```

Output
As for the density of states at the Fermi level: 0.0 states/eV per cell. The uncorrected formation energy is -0.8808 eV/atom.